# 1
ZnGaTc | PBE | relaxed

Calculated values
Offset from the most stable computed form (meV/atom): 31.1
Density of states at the Fermi level (states/eV/f.u.): 1.670
E_form (eV/atom): 0.00
Final energy (eV per atom): -4.892
Total magnetization (μB/cell): 0.00

Structure (extended XYZ):
```
3
Lattice="2.692 0.000 0.000 0.000 4.294 0.000 0.000 -2.147 3.718" Properties=species:S:1:pos:R:3 pbc="T T T"
Zn 0.449 2.147 1.239
Tc 1.796 0.000 2.479
Ga 0.448 0.000 0.000
```

# 2
ZnGaTc | PBE | relaxed

Calculated values
Offset from the most stable computed form (meV/atom): 123.3
Density of states at the Fermi level (states/eV/f.u.): 2.247
E_form (eV/atom): 0.09
Final energy (eV per atom): -4.800
Total magnetization (μB/cell): 0.00

Structure (extended XYZ):
```
3
Lattice="-2.037 -2.437 0.159 0.293 -0.449 -3.135 4.200 -1.293 2.191" Properties=species:S:1:pos:R:3 pbc="T T T"
Zn 2.096 -3.884 -0.860
Tc 1.856 -1.526 0.392
Ga -0.039 -2.128 -1.312
```

# 3
ZrGa2Tc | PBE | relaxed

Calculated values
Offset from the most stable computed form (meV/atom): 0.0
Density of states at the Fermi level (states/eV/f.u.): 3.113
E_form (eV/atom): -0.39
Final energy (eV per atom): -6.635
Total magnetization (μB/cell): 0.00

Structure (extended XYZ):
```
16
Lattice="-2.720 -0.468 2.915 -4.636 -1.823 -4.619 2.733 -9.532 1.020" Properties=species:S:1:pos:R:3 pbc="T T T"
Zr -2.605 -2.487 1.316
Zr -2.019 -9.336 -2.001
Zr -4.543 -4.724 -0.851
Zr -0.081 -7.099 0.167
Ga -2.164 -5.376 1.264
Ga -2.459 -6.447 -1.948
Ga -5.680 -2.110 -1.493
Ga 1.057 -9.713 0.809
Ga -0.123 -8.368 2.688
Ga -1.761 -4.010 -0.905
Ga -2.862 -7.813 0.221
Ga -4.500 -3.455 -3.372
Tc -2.996 -1.841 -1.709
Tc 0.269 -4.234 0.954
Tc -1.627 -9.982 1.025
Tc -4.893 -7.589 -1.638
```

# 4
ZrGa3Tc | PBE | relaxed

Calculated values
Offset from the most stable computed form (meV/atom): 0.0
Density of states at the Fermi level (states/eV/f.u.): 0.882
E_form (eV/atom): -0.16
Final energy (eV per atom): -5.763
Total magnetization (μB/cell): 0.00

Structure (extended XYZ):
```
10
Lattice="4.516 -0.001 0.000 0.001 5.405 0.000 0.000 0.000 7.421" Properties=species:S:1:pos:R:3 pbc="T T T"
Zr 3.387 1.350 1.738
Zr 1.130 4.054 5.683
Ga 3.388 4.053 0.281
Ga 1.129 1.351 7.140
Ga 3.387 0.120 5.012
Ga 3.388 2.581 5.012
Ga 1.130 5.284 2.410
Ga 1.130 2.823 2.410
Tc 3.388 4.053 2.868
Tc 1.129 1.351 4.554
```

# 5
ZrGaTc | PBE | relaxed

Calculated values
Offset from the most stable computed form (meV/atom): 0.0
Density of states at the Fermi level (states/eV/f.u.): 2.267
E_form (eV/atom): -0.47
Final energy (eV per atom): -7.789
Total magnetization (μB/cell): 0.00

Structure (extended XYZ):
```
6
Lattice="-0.017 5.172 0.846 -5.043 0.311 -1.397 1.533 1.802 4.677" Properties=species:S:1:pos:R:3 pbc="T T T"
Zr -2.700 3.021 2.934
Zr -2.296 5.841 1.540
Ga -0.744 3.375 0.598
Ga 0.032 1.690 2.513
Tc 0.022 4.276 2.937
Tc -3.265 3.531 -0.100
```

# 6
Zr4GaTc | PBE | relaxed

Calculated values
Offset from the most stable computed form (meV/atom): 235.7
Density of states at the Fermi level (states/eV/f.u.): 7.760
E_form (eV/atom): -0.06
Final energy (eV per atom): -7.987
Total magnetization (μB/cell): 0.00

Structure (extended XYZ):
```
6
Lattice="4.611 0.000 0.000 2.306 4.007 0.238 2.306 0.915 7.449" Properties=species:S:1:pos:R:3 pbc="T T T"
Zr 4.611 2.627 0.985
Zr 4.611 2.295 6.701
Zr 2.306 1.060 4.788
Zr 6.917 3.861 2.899
Ga 4.611 2.461 3.843
Tc 0.000 0.000 0.000
```

# 7
ZrGa2Tc | PBE | relaxed

Calculated values
Offset from the most stable computed form (meV/atom): 114.3
Density of states at the Fermi level (states/eV/f.u.): 2.921
E_form (eV/atom): -0.28
Final energy (eV per atom): -6.521
Total magnetization (μB/cell): 0.00

Structure (extended XYZ):
```
4
Lattice="-1.309 -3.259 2.385 3.626 -1.582 -0.172 1.020 1.984 3.272" Properties=species:S:1:pos:R:3 pbc="T T T"
Ga 0.510 0.992 1.636
Ga 1.813 -0.791 -0.086
Tc 1.669 -1.429 2.742
Zr -0.655 -1.630 1.192
```

# 8
ZrGaTc | PBE | relaxed

Calculated values
Offset from the most stable computed form (meV/atom): 535.2
Density of states at the Fermi level (states/eV/f.u.): 1.763
E_form (eV/atom): 0.06
Final energy (eV per atom): -7.253
Total magnetization (μB/cell): 0.00

Structure (extended XYZ):
```
12
Lattice="6.230 0.000 0.000 0.000 6.230 0.000 0.000 0.000 6.230" Properties=species:S:1:pos:R:3 pbc="T T T"
Ga 3.152 3.152 3.152
Ga 6.193 3.078 0.037
Ga 0.037 6.193 3.078
Ga 3.078 0.037 6.193
Tc 1.670 1.670 1.670
Tc 1.445 4.560 4.784
Tc 4.784 1.445 4.560
Tc 4.560 4.784 1.445
Zr 0.168 0.168 0.168
Zr 2.947 6.062 3.282
Zr 3.282 2.947 6.062
Zr 6.062 3.282 2.947
```

# 9
ZrGaTc | PBE | relaxed

Calculated values
Offset from the most stable computed form (meV/atom): 157.0
Density of states at the Fermi level (states/eV/f.u.): 2.037
E_form (eV/atom): -0.32
Final energy (eV per atom): -7.632
Total magnetization (μB/cell): 0.00

Structure (extended XYZ):
```
6
Lattice="3.194 0.000 0.004 0.000 4.527 0.000 -0.379 0.000 7.383" Properties=species:S:1:pos:R:3 pbc="T T T"
Zr 1.597 2.263 0.002
Zr 1.408 0.000 3.694
Ga -0.045 0.000 1.256
Ga 2.861 0.000 6.131
Tc 2.706 2.263 4.852
Tc 0.109 2.263 2.536
```

# 10
ZrGaTc2 | PBE | relaxed

Calculated values
Density of states at the Fermi level (states/eV/f.u.): 4.938
E_form (eV/atom): -0.22
Final energy (eV per atom): -8.295
Total magnetization (μB/cell): 0.00

Structure (extended XYZ):
```
4
Lattice="3.369 0.000 0.000 0.000 4.376 0.000 0.000 0.000 4.376" Properties=species:S:1:pos:R:3 pbc="T T T"
Ga 1.684 0.000 0.000
Tc 0.000 0.000 2.188
Tc 0.000 2.188 0.000
Zr 1.684 2.188 2.188
```

# 11
Zr2GaTc | PBE | relaxed

Calculated values
Density of states at the Fermi level (states/eV/f.u.): 3.637
E_form (eV/atom): 0.48
Final energy (eV per atom): -7.144
Total magnetization (μB/cell): 0.70

Structure (extended XYZ):
```
4
Lattice="-4.216 -0.343 -4.447 -0.263 1.544 5.934 4.445 2.963 3.022" Properties=species:S:1:pos:R:3 pbc="T T T"
Zr 1.039 1.120 2.225
Zr 3.143 3.387 6.731
Ga 0.000 0.000 0.000
Tc 2.091 2.253 4.478
```

# 12
Zr3GaTc | PBE | relaxed

Calculated values
Offset from the most stable computed form (meV/atom): 0.0
Density of states at the Fermi level (states/eV/f.u.): 9.275
E_form (eV/atom): 0.43
Final energy (eV per atom): -7.373
Total magnetization (μB/cell): 0.00

Structure (extended XYZ):
```
5
Lattice="-0.802 2.306 -4.364 -4.624 1.195 1.482 1.726 4.273 1.941" Properties=species:S:1:pos:R:3 pbc="T T T"
Ga -1.850 3.887 -0.471
Tc 0.000 0.000 0.000
Zr -2.312 0.598 0.741
Zr 0.863 2.137 0.970
Zr -0.401 1.153 -2.182
```

# 13
ZrGa2Tc | PBE | relaxed

Calculated values
Offset from the most stable computed form (meV/atom): 104.6
Density of states at the Fermi level (states/eV/f.u.): 3.196
E_form (eV/atom): -0.29
Final energy (eV per atom): -6.531
Total magnetization (μB/cell): 0.00

Structure (extended XYZ):
```
4
Lattice="3.157 0.000 0.000 0.000 3.157 0.000 0.000 0.000 6.661" Properties=species:S:1:pos:R:3 pbc="T T T"
Ga 0.000 0.000 5.258
Ga 0.000 0.000 1.403
Tc 1.579 1.579 0.000
Zr 1.579 1.579 3.331
```

# 14
Zr4GaTc | PBE | relaxed

Calculated values
Offset from the most stable computed form (meV/atom): 0.0
Density of states at the Fermi level (states/eV/f.u.): 7.806
E_form (eV/atom): -0.29
Final energy (eV per atom): -8.222
Total magnetization (μB/cell): 0.00

Structure (extended XYZ):
```
12
Lattice="-5.211 1.344 0.439 -0.044 -2.254 6.378 1.771 6.152 2.187" Properties=species:S:1:pos:R:3 pbc="T T T"
Zr 1.154 3.668 2.475
Zr 0.572 0.230 6.090
Zr 0.274 0.228 2.551
Zr 1.453 3.670 6.014
Zr -1.481 2.821 6.992
Zr -2.004 2.421 2.012
Zr -2.346 0.196 4.760
Zr -1.139 5.045 4.244
Ga -1.303 0.336 0.110
Ga -3.909 1.008 0.329
Tc -0.439 2.285 4.392
Tc -3.045 2.957 4.612
```

# 15
ZrGaTc | PBE | relaxed

Calculated values
Offset from the most stable computed form (meV/atom): 125.5
Density of states at the Fermi level (states/eV/f.u.): 1.529
E_form (eV/atom): -0.35
Final energy (eV per atom): -7.663
Total magnetization (μB/cell): 0.00

Structure (extended XYZ):
```
12
Lattice="-1.145 0.787 -4.151 -0.869 -3.367 -0.399 -12.668 2.793 4.024" Properties=species:S:1:pos:R:3 pbc="T T T"
Zr -13.073 3.149 1.895
Zr -7.173 0.069 -0.316
Zr -9.216 2.299 0.670
Zr -3.317 -0.781 -1.541
Ga -10.567 2.329 3.357
Ga -4.667 -0.751 1.145
Ga -6.752 1.488 2.145
Ga -0.852 -1.592 -0.067
Tc -2.303 0.508 0.732
Tc -9.071 0.220 2.544
Tc -4.880 1.343 -0.707
Tc -11.649 1.056 1.105
```

# 16
ZrGa2Tc | PBE | relaxed

Calculated values
Offset from the most stable computed form (meV/atom): 12.3
Density of states at the Fermi level (states/eV/f.u.): 1.972
E_form (eV/atom): -0.38
Final energy (eV per atom): -6.623
Total magnetization (μB/cell): 0.00

Structure (extended XYZ):
```
8
Lattice="-3.896 1.083 1.877 -0.908 -3.448 -3.941 0.601 -4.646 3.926" Properties=species:S:1:pos:R:3 pbc="T T T"
Zr -0.155 -1.619 0.486
Zr -4.048 -5.392 1.375
Ga -2.299 -2.274 -1.923
Ga -2.051 -4.190 -0.304
Ga -1.904 -4.737 3.785
Ga -2.152 -2.821 2.165
Tc -3.862 -2.295 0.253
Tc -0.341 -4.716 1.608
```

# 17
ZrGaTc | PBE | relaxed

Calculated values
Offset from the most stable computed form (meV/atom): 275.7
Density of states at the Fermi level (states/eV/f.u.): 3.055
E_form (eV/atom): -0.20
Final energy (eV per atom): -7.513
Total magnetization (μB/cell): 0.00

Structure (extended XYZ):
```
3
Lattice="3.280 0.000 0.000 0.000 4.353 0.000 0.000 -2.177 3.770" Properties=species:S:1:pos:R:3 pbc="T T T"
Ga 0.508 0.000 0.000
Tc 0.656 0.000 2.513
Zr 2.117 2.177 1.257
```

# 18
Zr4Ga2Tc | PBE | relaxed

Calculated values
Density of states at the Fermi level (states/eV/f.u.): 6.734
E_form (eV/atom): 0.30
Final energy (eV per atom): -6.933
Total magnetization (μB/cell): 0.00

Structure (extended XYZ):
```
7
Lattice="-0.976 -4.749 -1.106 3.907 -0.087 -3.075 5.511 -4.460 3.107" Properties=species:S:1:pos:R:3 pbc="T T T"
Ga 2.421 -2.901 -0.863
Ga 6.021 -6.396 -0.212
Tc 0.000 0.000 0.000
Zr 4.014 -3.705 1.183
Zr 4.428 -5.592 -2.258
Zr 1.954 -0.043 -1.538
Zr -0.488 -2.375 -0.553
```

# 19
Zr2GaTc | PBE | relaxed

Calculated values
Density of states at the Fermi level (states/eV/f.u.): 1.323
E_form (eV/atom): 0.11
Final energy (eV per atom): -7.514
Total magnetization (μB/cell): 0.00

Structure (extended XYZ):
```
8
Lattice="7.518 0.000 0.000 0.000 7.518 0.000 3.759 3.759 2.825" Properties=species:S:1:pos:R:3 pbc="T T T"
Ga 3.759 3.759 0.000
Ga 3.759 7.518 1.413
Tc 0.000 0.000 0.000
Tc 7.518 3.759 1.413
Zr 5.887 1.879 0.706
Zr 1.631 5.638 0.706
Zr 5.638 5.390 2.119
Zr 9.397 9.645 2.119
```

# 20
Zr3GaTc | PBE | relaxed

Calculated values
Offset from the most stable computed form (meV/atom): 483.9
Density of states at the Fermi level (states/eV/f.u.): 7.490
E_form (eV/atom): 0.92
Final energy (eV per atom): -6.890
Total magnetization (μB/cell): 0.00

Structure (extended XYZ):
```
5
Lattice="4.915 0.000 0.000 0.000 4.915 0.000 0.000 0.000 4.915" Properties=species:S:1:pos:R:3 pbc="T T T"
Ga 0.000 0.000 0.000
Tc 2.457 2.457 2.457
Zr 0.000 2.457 0.000
Zr 0.000 0.000 2.457
Zr 2.457 0.000 0.000
```

# 21
Zr2GaTc | PBE | relaxed

Calculated values
Density of states at the Fermi level (states/eV/f.u.): 1.409
E_form (eV/atom): -0.50
Final energy (eV per atom): -8.122
Total magnetization (μB/cell): 0.00

Structure (extended XYZ):
```
4
Lattice="3.377 0.000 0.000 0.000 3.377 0.000 0.000 0.000 6.490" Properties=species:S:1:pos:R:3 pbc="T T T"
Ga 1.689 1.689 3.245
Tc 1.689 1.689 0.000
Zr 0.000 0.000 4.926
Zr 0.000 0.000 1.564
```

# 22
ZrGaTc | PBE | relaxed

Calculated values
Offset from the most stable computed form (meV/atom): 88.5
Density of states at the Fermi level (states/eV/f.u.): 1.238
E_form (eV/atom): -0.39
Final energy (eV per atom): -7.700
Total magnetization (μB/cell): 0.00

Structure (extended XYZ):
```
12
Lattice="-1.917 -3.749 1.607 2.194 -0.006 2.601 -8.535 7.457 7.216" Properties=species:S:1:pos:R:3 pbc="T T T"
Zr -1.648 1.440 1.394
Zr -4.819 5.166 6.302
Zr -4.242 0.994 3.580
Zr -7.413 4.720 8.488
Ga -4.418 3.860 3.735
Ga 0.947 0.128 1.427
Ga -7.051 3.449 5.955
Ga -1.687 -0.283 3.647
Tc -7.350 6.422 6.214
Tc -1.986 2.690 3.907
Tc -1.454 -1.442 1.223
Tc -4.625 2.284 6.131
```

# 23
ZrGaTc | PBE | relaxed

Calculated values
Offset from the most stable computed form (meV/atom): 66.1
Density of states at the Fermi level (states/eV/f.u.): 0.577
E_form (eV/atom): -0.41
Final energy (eV per atom): -7.723
Total magnetization (μB/cell): 0.00

Structure (extended XYZ):
```
3
Lattice="3.400 0.000 0.000 0.000 3.400 0.000 -1.700 -1.700 4.474" Properties=species:S:1:pos:R:3 pbc="T T T"
Zr 1.700 1.700 0.994
Tc 1.700 1.700 3.975
Ga 0.000 0.000 2.638
```

# 24
Zr5GaTc4 | PBE | relaxed

Calculated values
Density of states at the Fermi level (states/eV/f.u.): 8.382
E_form (eV/atom): -0.42
Final energy (eV per atom): -9.146
Total magnetization (μB/cell): 0.00

Structure (extended XYZ):
```
10
Lattice="3.331 0.000 0.000 0.000 3.331 0.000 0.000 0.000 16.351" Properties=species:S:1:pos:R:3 pbc="T T T"
Zr 1.666 1.666 1.706
Zr 1.666 1.666 4.913
Zr 1.666 1.666 8.175
Zr 1.666 1.666 11.438
Zr 1.666 1.666 14.645
Ga 0.000 0.000 0.000
Tc 0.000 0.000 3.222
Tc 0.000 0.000 6.527
Tc 0.000 0.000 9.824
Tc 0.000 0.000 13.128
```

# 25
Zr2Ga6Tc | PBE | relaxed

Calculated values
Density of states at the Fermi level (states/eV/f.u.): 5.549
E_form (eV/atom): -0.37
Final energy (eV per atom): -5.440
Total magnetization (μB/cell): 0.00

Structure (extended XYZ):
```
9
Lattice="-1.648 3.496 4.218 3.138 -3.857 2.992 5.767 0.306 0.570" Properties=species:S:1:pos:R:3 pbc="T T T"
Zr 4.310 0.689 5.860
Zr 2.947 -0.743 1.921
Ga 5.610 -0.052 3.068
Ga 7.044 -2.029 4.156
Ga 4.370 -2.014 4.210
Ga 1.647 -0.003 4.712
Ga 0.213 1.975 3.625
Ga 2.887 1.960 3.570
Tc 0.000 0.000 0.000
```